Record 1
Computed, not measured: crystalline CsMg3Ti at its relaxed geometry at the PBE level of DFT.

Computed properties:
density of states at the Fermi level	10.61	states/eV/f.u.
theoretical density	2.13	g cm⁻³
energy of formation	1.87	eV/atom
energy	-0.841	eV per atom
symmetry	Pm-3m, No. 221
total moment	0.00	μB/f.u.

Unit cell a=5.8279 b=5.8279 c=5.8279 alpha=90.00 beta=90.00 gamma=90.00
Fractional positions:
Cs 0.0000 0.0000 0.0000
Mg 0.0000 0.0000 0.5000
Mg 0.0000 0.5000 0.0000
Mg 0.5000 0.0000 0.0000
Ti 0.5000 0.5000 0.5000

Record 2
Computed, not measured: crystalline Cs2KPa2Se7 at its relaxed geometry at the PBE level of DFT.

Computed properties:
density of states at the Fermi level	5.86	states/eV/f.u.
theoretical density	4.88	g cm⁻³
energy	-5.167	eV per atom
symmetry	I4/mmm, No. 139
total moment	0.00	μB/f.u.

Unit cell a=15.1087 b=15.1087 c=15.1087 alpha=158.83 beta=158.83 gamma=30.11
Fractional positions:
Cs 0.1852 0.1852 0.0000
Cs 0.8148 0.8148 0.0000
K 0.0000 0.0000 0.0000
Pa 0.4046 0.4046 0.0000
Pa 0.5954 0.5954 0.0000
Se 0.0899 0.5899 0.5000
Se 0.3138 0.3138 0.0000
Se 0.4101 0.9101 0.5000
Se 0.5000 0.5000 0.0000
Se 0.5899 0.0899 0.5000
Se 0.6862 0.6862 0.0000
Se 0.9101 0.4101 0.5000

Record 3
Computed, not measured: crystalline BaSrMnTc2 at its relaxed geometry at the PBE level of DFT.

Computed properties:
density of states at the Fermi level	5.62	states/eV/f.u.
theoretical density	6.62	g cm⁻³
energy of formation	1.03	eV/atom
energy	-5.672	eV per atom
symmetry	P4/mmm, No. 123
total moment	0.90	μB/f.u.
energy relative to the lowest polymorph listed for this composition	0.000	eV per atom

Unit cell a=4.6674 b=4.6674 c=5.4813 alpha=90.00 beta=90.00 gamma=90.00
Fractional positions:
Ba 0.0000 0.0000 0.0000
Sr 0.5000 0.5000 0.0000
Mn 0.0000 0.0000 0.5000
Tc 0.0000 0.5000 0.5000
Tc 0.5000 0.0000 0.5000

Record 4
Computed, not measured: crystalline NaThZnPb at its relaxed geometry at the PBE level of DFT.

Computed properties:
density of states at the Fermi level	3.32	states/eV/f.u.
theoretical density	8.24	g cm⁻³
energy of formation	-0.04	eV/atom
energy	-3.475	eV per atom
symmetry	F-43m, No. 216
total moment	0.00	μB/f.u.

Unit cell a=5.3173 b=5.3173 c=5.3173 alpha=60.00 beta=60.00 gamma=60.00
Fractional positions:
Na 0.0000 0.0000 0.0000
Th 0.5000 0.5000 0.5000
Zn 0.7500 0.7500 0.7500
Pb 0.2500 0.2500 0.2500

Question: Which of these has the highest total moment?
Answer: BaSrMnTc2

Question: density of states at the Fermi level of number 4 (NaThZnPb)?
Answer: 3.32 states/eV/f.u.

Question: The highest total moment belongs to which entry?
Answer: BaSrMnTc2

Question: Which of these has the lowest theoretical density?
Answer: CsMg3Ti